(a)
## TbNd4Sm6 (PBE-GGA)

Data for TbNd4Sm6 after structural relaxation.

Cell: 9.8015 9.8015 9.8015 Å, 58.20 139.77 139.77°
Closest atoms and distances in Å follow each position.
Fractional positions:
Tb 0.0000 0.0000 0.0000  8 Sm 3.37-3.75, 4 Nd 3.52
Nd 0.0000 0.6337 0.0131  5 Sm 3.41-3.69, 1 Tb 3.52, 1 Nd 3.62
Nd 0.3794 0.3663 0.3663  5 Sm 3.41-3.69, 1 Tb 3.52, 1 Nd 3.62
Nd 0.0000 0.0131 0.6337  5 Sm 3.41-3.69, 1 Tb 3.52, 1 Nd 3.62
Nd 0.6206 0.9869 0.9869  5 Sm 3.41-3.69, 1 Tb 3.52, 1 Nd 3.62
Sm 0.0000 0.8005 0.4480  3 Sm 3.27-3.36, 3 Nd 3.41-3.52
Sm 0.0000 0.4480 0.8005  3 Sm 3.27-3.36, 3 Nd 3.41-3.52
Sm 0.3525 0.5520 0.5520  3 Sm 3.27-3.36, 3 Nd 3.41-3.52
Sm 0.5000 0.5000 0.0000  4 Sm 3.27, 2 Tb 3.37
Sm 0.6475 0.1995 0.1995  3 Sm 3.27-3.36, 3 Nd 3.41-3.52
Sm 0.5000 0.0000 0.5000  4 Sm 3.27, 2 Tb 3.37

Output
Spin magnetization, Bohr magnetons per cell: 0.00

***

(b)
## TbNd4Sm6 (PBE-GGA)

Data for TbNd4Sm6 after structural relaxation.

Cell: 7.6573 7.6573 8.6732 Å, 116.20 116.20 90.00°
Closest atoms and distances in Å follow each position.
Fractional positions:
Tb 0.5000 0.5000 0.0000  8 Sm 3.54-3.83, 4 Nd 3.70
Nd 0.0940 0.7474 0.8414  3 Sm 3.03-3.23
Nd 0.9060 0.9060 0.1586  3 Sm 3.03-3.23
Nd 0.7474 0.0940 0.8414  3 Sm 3.03-3.23
Nd 0.2526 0.2526 0.1586  3 Sm 3.03-3.23
Sm 0.9148 0.4583 0.3731  1 Nd 3.23, 1 Tb 3.54
Sm 0.4583 0.9148 0.3731  1 Nd 3.23, 1 Tb 3.54
Sm 0.5417 0.5417 0.6269  1 Nd 3.23, 1 Tb 3.54
Sm 0.0000 0.5000 0.0000  4 Nd 3.03
Sm 0.0852 0.0852 0.6269  1 Nd 3.23, 1 Tb 3.54
Sm 0.5000 0.0000 0.0000  4 Nd 3.03

Output
Spin magnetization, Bohr magnetons per cell: 0.00

***

Winner for stability: (a)

***

(a)
## Tb5Nd4Sm3 (PBE-GGA)

Data for Tb5Nd4Sm3 after structural relaxation.

Cell: 5.9942 8.6478 9.7992 Å, 105.86 72.19 69.72°
Closest atoms and distances in Å follow each position.
Fractional positions:
Tb 0.6263 0.9459 0.8015  2 Sm 3.31-3.51, 2 Tb 3.42-3.68, 2 Nd 3.69
Tb 0.5000 0.5000 0.5000  4 Sm 3.00-3.12
Tb 0.2159 0.4563 0.1119  4 Sm 3.24-3.51, 3 Nd 3.46-3.56
Tb 0.7841 0.5437 0.8881  4 Sm 3.24-3.51, 3 Nd 3.46-3.56
Tb 0.3737 0.0541 0.1985  2 Sm 3.31-3.51, 2 Tb 3.42-3.68, 2 Nd 3.69
Nd 0.8603 0.2231 0.0563  2 Nd 3.31-3.70, 1 Sm 3.43, 3 Tb 3.46-3.56
Nd 0.1683 0.0438 0.6195  3 Sm 3.32-3.59, 3 Nd 3.62-3.70, 2 Tb 3.69
Nd 0.8317 0.9562 0.3805  3 Sm 3.32-3.59, 3 Nd 3.62-3.70, 2 Tb 3.69
Nd 0.1397 0.7769 0.9437  2 Nd 3.31-3.70, 1 Sm 3.43, 3 Tb 3.46-3.56
Sm 0.5218 0.6875 0.2690  3 Tb 3.12-3.31, 2 Nd 3.32-3.43
Sm 0.0000 0.5000 0.5000  2 Tb 3.00
Sm 0.4782 0.3125 0.7310  3 Tb 3.12-3.31, 2 Nd 3.32-3.43

Output
Spin magnetization, Bohr magnetons per cell: 0.25

***

(b)
## Tb5Nd4Sm3 (PBE-GGA)

Data for Tb5Nd4Sm3 after structural relaxation.

Cell: 7.2323 11.4462 13.0503 Å, 151.29 56.32 129.27°
Closest atoms and distances in Å follow each position.
Fractional positions:
Tb 0.3313 0.6656 0.8342  3 Tb 3.60-3.64, 4 Sm 3.60-3.64, 5 Nd 3.61-3.64
Tb 0.5000 0.0000 0.5000  4 Nd 3.60-3.61, 4 Sm 3.62, 4 Tb 3.62-3.63
Tb 0.7513 0.4996 0.9997  6 Tb 3.60-3.64, 3 Sm 3.60-3.61, 3 Nd 3.61
Tb 0.2487 0.5004 0.0003  6 Tb 3.60-3.64, 3 Sm 3.60-3.61, 3 Nd 3.61
Tb 0.6687 0.3344 0.1658  3 Tb 3.60-3.64, 4 Sm 3.60-3.64, 5 Nd 3.61-3.64
Nd 0.9168 0.8352 0.6672  4 Sm 3.60-3.64, 5 Tb 3.61-3.64, 3 Nd 3.62-3.65
Nd 0.8309 0.6634 0.8324  5 Tb 3.60-3.62, 3 Sm 3.62-3.65, 4 Nd 3.62-3.66
Nd 0.1691 0.3366 0.1676  5 Tb 3.60-3.62, 3 Sm 3.62-3.65, 4 Nd 3.62-3.66
Nd 0.0832 0.1648 0.3328  4 Sm 3.60-3.64, 5 Tb 3.61-3.64, 3 Nd 3.62-3.65
Sm 0.5802 0.1641 0.3324  6 Nd 3.60-3.65, 5 Tb 3.60-3.64, 1 Sm 3.60
Sm 0.0000 0.0000 0.5000  2 Sm 3.60, 8 Tb 3.61-3.62, 2 Nd 3.61
Sm 0.4198 0.8359 0.6676  6 Nd 3.60-3.65, 5 Tb 3.60-3.64, 1 Sm 3.60

Output
Spin magnetization, Bohr magnetons per cell: 0.00

***

Winner for stability: (b)

***

(a)
## Tb6Nd3Sm2 (PBE-GGA)

Data for Tb6Nd3Sm2 after structural relaxation.

Cell: 4.7945 4.7945 17.0211 Å, 98.10 98.10 90.00°
Closest atoms and distances in Å follow each position.
Fractional positions:
Tb 0.1204 0.6204 0.2408  6 Tb 3.39-3.43, 2 Sm 3.45, 2 Nd 3.65
Tb 0.6204 0.1204 0.2408  6 Tb 3.39-3.43, 2 Sm 3.45, 2 Nd 3.65
Tb 0.8796 0.3796 0.7592  6 Tb 3.39-3.43, 2 Sm 3.45, 2 Nd 3.65
Tb 0.3796 0.8796 0.7592  6 Tb 3.39-3.43, 2 Sm 3.45, 2 Nd 3.65
Tb 0.6938 0.6938 0.3876  5 Nd 3.40-3.45, 4 Tb 3.43
Tb 0.3062 0.3062 0.6124  5 Nd 3.40-3.45, 4 Tb 3.43
Nd 0.0000 0.0000 0.0000  8 Sm 3.72
Nd 0.7971 0.7971 0.5942  9 Tb 3.40-3.65
Nd 0.2029 0.2029 0.4058  9 Tb 3.40-3.65
Sm 0.4541 0.4541 0.9082  1 Sm 3.06
Sm 0.5459 0.5459 0.0918  1 Sm 3.06

Output
Spin magnetization, Bohr magnetons per cell: 0.00

***

(b)
## Tb6Nd3Sm2 (PBE-GGA)

Data for Tb6Nd3Sm2 after structural relaxation.

Cell: 6.2070 6.2213 11.7274 Å, 84.84 79.61 60.08°
Closest atoms and distances in Å follow each position.
Fractional positions:
Tb 0.4175 0.6670 0.7477  2 Sm 3.53, 3 Nd 3.57-3.58, 6 Tb 3.58-3.60
Tb 0.7507 0.0000 0.7482  2 Sm 3.53, 3 Nd 3.55-3.57, 6 Tb 3.58-3.60
Tb 0.0845 0.3330 0.7477  2 Sm 3.53, 3 Nd 3.57-3.58, 6 Tb 3.58-3.60
Tb 0.2493 0.0000 0.2518  2 Sm 3.53, 3 Nd 3.55-3.57, 6 Tb 3.58-3.60
Tb 0.5825 0.3330 0.2523  2 Sm 3.53, 3 Nd 3.57-3.58, 6 Tb 3.58-3.60
Tb 0.9155 0.6670 0.2523  2 Sm 3.53, 3 Nd 3.57-3.58, 6 Tb 3.58-3.60
Nd 0.0000 0.0000 0.0000  6 Tb 3.57, 6 Nd 3.57-3.62
Nd 0.3356 0.3287 0.0000  6 Nd 3.55-3.62, 6 Tb 3.55-3.58
Nd 0.6644 0.6713 0.0000  6 Nd 3.55-3.62, 6 Tb 3.55-3.58
Sm 0.1662 0.6677 0.5000  6 Tb 3.53, 3 Sm 3.58-3.59
Sm 0.8338 0.3323 0.5000  6 Tb 3.53, 3 Sm 3.58-3.59

Output
Spin magnetization, Bohr magnetons per cell: 0.00

***

Winner for stability: (b)

***

(a)
## Tb8Nd3Sm2 (PBE-GGA)

Data for Tb8Nd3Sm2 after structural relaxation.

Cell: 6.2262 8.0461 9.5244 Å, 65.02 83.75 82.55°
Closest atoms and distances in Å follow each position.
Fractional positions:
Tb 0.2297 0.5377 0.0770  8 Tb 3.58-3.61, 3 Nd 3.58-3.61, 1 Sm 3.59
Tb 0.7703 0.4623 0.9230  8 Tb 3.58-3.61, 3 Nd 3.58-3.61, 1 Sm 3.59
Tb 0.1535 0.6906 0.3855  3 Sm 3.57-3.60, 7 Tb 3.58-3.62, 2 Nd 3.61
Tb 0.8465 0.3094 0.6145  3 Sm 3.57-3.60, 7 Tb 3.58-3.62, 2 Nd 3.61
Tb 0.0775 0.8446 0.6914  6 Tb 3.57-3.62, 3 Sm 3.59-3.61, 3 Nd 3.60-3.62
Tb 0.3083 0.3870 0.7680  7 Tb 3.57-3.60, 2 Sm 3.58-3.60, 3 Nd 3.61-3.62
Tb 0.6917 0.6130 0.2320  7 Tb 3.57-3.60, 2 Sm 3.58-3.60, 3 Nd 3.61-3.62
Tb 0.9225 0.1554 0.3086  6 Tb 3.57-3.62, 3 Sm 3.59-3.61, 3 Nd 3.60-3.62
Nd 0.0000 0.0000 0.0000  4 Nd 3.60, 8 Tb 3.60-3.62
Nd 0.4609 0.0778 0.1547  7 Tb 3.58-3.62, 2 Sm 3.59-3.60, 3 Nd 3.60-3.62
Nd 0.5391 0.9222 0.8453  7 Tb 3.58-3.62, 2 Sm 3.59-3.60, 3 Nd 3.60-3.62
Sm 0.6164 0.7676 0.5388  9 Tb 3.57-3.61, 2 Nd 3.59-3.60, 1 Sm 3.62
Sm 0.3836 0.2324 0.4612  9 Tb 3.57-3.61, 2 Nd 3.59-3.60, 1 Sm 3.62

Output
Spin magnetization, Bohr magnetons per cell: 0.00

***

(b)
## Tb8Nd3Sm2 (PBE-GGA)

Data for Tb8Nd3Sm2 after structural relaxation.

Cell: 5.6743 7.7159 10.9143 Å, 110.70 90.02 90.00°
Closest atoms and distances in Å follow each position.
Fractional positions:
Tb 0.0005 0.6689 0.3378  2 Sm 3.37, 4 Tb 3.49-3.50
Tb 0.9995 0.3311 0.6622  2 Sm 3.37, 4 Tb 3.49-3.50
Tb 0.9998 0.1339 0.2678  4 Nd 3.54-3.94, 2 Sm 3.59-3.60, 6 Tb 3.65-3.92
Tb 0.0002 0.8661 0.7322  4 Nd 3.54-3.94, 2 Sm 3.59-3.60, 6 Tb 3.65-3.92
Tb 0.4999 0.6017 0.7844  1 Nd 3.14, 3 Tb 3.23-3.50, 1 Sm 3.47
Tb 0.4999 0.1826 0.7844  1 Nd 3.14, 3 Tb 3.23-3.50, 1 Sm 3.47
Tb 0.5001 0.8174 0.2156  1 Nd 3.14, 3 Tb 3.23-3.50, 1 Sm 3.47
Tb 0.5001 0.3983 0.2156  1 Nd 3.14, 3 Tb 3.23-3.50, 1 Sm 3.47
Nd 0.5000 0.0000 0.0000  4 Tb 3.14
Nd 0.0000 0.2918 0.0000  1 Nd 3.21, 6 Tb 3.54-3.59
Nd 0.0000 0.7082 0.0000  1 Nd 3.21, 6 Tb 3.54-3.59
Sm 0.4993 0.2418 0.4837  8 Tb 3.37-3.60
Sm 0.5007 0.7582 0.5163  8 Tb 3.37-3.60

Output
Spin magnetization, Bohr magnetons per cell: 0.00

***

Winner for stability: (a)

***

(a)
## TbNd2Sm4 (PBE-GGA)

Data for TbNd2Sm4 after structural relaxation.

Cell: 3.5788 8.9466 8.7451 Å, 118.82 101.84 89.95°
Closest atoms and distances in Å follow each position.
Fractional positions:
Tb 0.0000 0.0000 0.0000  2 Nd 3.41, 2 Tb 3.58, 8 Sm 3.64-3.80
Nd 0.0695 0.4286 0.1398  3 Nd 3.22-3.58, 1 Tb 3.41, 3 Sm 3.41-3.58
Nd 0.9305 0.5714 0.8602  3 Nd 3.22-3.58, 1 Tb 3.41, 3 Sm 3.41-3.58
Sm 0.2953 0.7089 0.5903  3 Nd 3.41-3.58, 5 Sm 3.58-3.73, 2 Tb 3.64-3.65
Sm 0.3577 0.1539 0.7141  7 Sm 3.58-3.83, 4 Nd 3.70-3.76, 2 Tb 3.79-3.80
Sm 0.7047 0.2911 0.4097  3 Nd 3.41-3.58, 5 Sm 3.58-3.73, 2 Tb 3.64-3.65
Sm 0.6423 0.8461 0.2859  7 Sm 3.58-3.83, 4 Nd 3.70-3.76, 2 Tb 3.79-3.80

Output
Spin magnetization, Bohr magnetons per cell: 0.00

***

(b)
## TbNd2Sm4 (PBE-GGA)

Data for TbNd2Sm4 after structural relaxation.

Cell: 3.6327 3.6327 20.8440 Å, 85.00 85.00 60.00°
Closest atoms and distances in Å follow each position.
Fractional positions:
Tb 0.0000 0.0000 0.0000  6 Sm 3.59, 6 Tb 3.63
Nd 0.4282 0.4282 0.7153  6 Nd 3.63, 6 Sm 3.65-3.66
Nd 0.5718 0.5718 0.2847  6 Nd 3.63, 6 Sm 3.65-3.66
Sm 0.1430 0.1430 0.5711  9 Sm 3.62-3.63, 3 Nd 3.65
Sm 0.2866 0.2866 0.1403  3 Tb 3.59, 6 Sm 3.63, 3 Nd 3.66
Sm 0.7134 0.7134 0.8597  3 Tb 3.59, 6 Sm 3.63, 3 Nd 3.66
Sm 0.8570 0.8570 0.4289  9 Sm 3.62-3.63, 3 Nd 3.65

Output
Spin magnetization, Bohr magnetons per cell: 0.00

***

Winner for stability: (b)

***

(a)
## Tb3Nd7Sm2 (PBE-GGA)

Data for Tb3Nd7Sm2 after structural relaxation.

Cell: 3.6417 5.9403 19.1784 Å, 93.52 90.00 90.00°
Closest atoms and distances in Å follow each position.
Fractional positions:
Tb 0.5000 0.5000 0.0000  8 Nd 3.42-3.48, 2 Tb 3.64
Tb 0.0000 0.2165 0.3680  2 Tb 3.64, 8 Nd 3.69-4.02, 4 Sm 3.73-3.75
Tb 0.0000 0.7835 0.6320  2 Tb 3.64, 8 Nd 3.69-4.02, 4 Sm 3.73-3.75
Nd 0.5000 0.7421 0.4643  1 Sm 3.20, 2 Nd 3.26-3.28
Nd 0.5000 0.2579 0.5357  1 Sm 3.20, 2 Nd 3.26-3.28
Nd 0.0000 0.6763 0.1442  2 Tb 3.42, 2 Sm 3.44, 7 Nd 3.46-3.64
Nd 0.0000 0.0000 0.0000  4 Nd 3.46-3.64, 4 Tb 3.48
Nd 0.0000 0.3237 0.8558  2 Tb 3.42, 2 Sm 3.44, 7 Nd 3.46-3.64
Nd 0.5000 0.8210 0.8190  6 Nd 3.53-3.64, 2 Sm 3.69-3.72
Nd 0.5000 0.1790 0.1810  6 Nd 3.53-3.64, 2 Sm 3.69-3.72
Sm 0.5000 0.7052 0.2970  3 Nd 3.20-3.44
Sm 0.5000 0.2948 0.7030  3 Nd 3.20-3.44

Output
Spin magnetization, Bohr magnetons per cell: 0.00

***

(b)
## Tb3Nd7Sm2 (PBE-GGA)

Data for Tb3Nd7Sm2 after structural relaxation.

Cell: 3.5863 6.5092 18.2762 Å, 75.11 90.00 90.00°
Closest atoms and distances in Å follow each position.
Fractional positions:
Tb 0.5000 0.5000 0.0000  2 Tb 3.59, 10 Nd 3.63-3.72
Tb 0.0000 0.1143 0.3403  2 Tb 3.59, 7 Nd 3.63-3.76, 4 Sm 3.66-3.78
Tb 0.0000 0.8857 0.6597  2 Tb 3.59, 7 Nd 3.63-3.76, 4 Sm 3.66-3.78
Nd 0.5000 0.2382 0.5045  2 Nd 3.15-3.37, 2 Sm 3.41-3.48
Nd 0.5000 0.7618 0.4955  2 Nd 3.15-3.37, 2 Sm 3.41-3.48
Nd 0.0000 0.5575 0.1660  2 Sm 3.58, 7 Nd 3.59-3.72, 3 Tb 3.63-3.71
Nd 0.0000 0.0000 0.0000  8 Nd 3.59-3.69, 4 Tb 3.72
Nd 0.0000 0.4425 0.8340  2 Sm 3.58, 7 Nd 3.59-3.72, 3 Tb 3.63-3.71
Nd 0.5000 0.9443 0.8298  1 Sm 3.54, 8 Nd 3.59-3.72, 3 Tb 3.66-3.69
Nd 0.5000 0.0557 0.1702  1 Sm 3.54, 8 Nd 3.59-3.72, 3 Tb 3.66-3.69
Sm 0.5000 0.6117 0.3298  5 Nd 3.41-3.58, 2 Sm 3.59, 4 Tb 3.66-3.78
Sm 0.5000 0.3883 0.6702  5 Nd 3.41-3.58, 2 Sm 3.59, 4 Tb 3.66-3.78

Output
Spin magnetization, Bohr magnetons per cell: 0.00

***

Winner for stability: (b)

***

(a)
## Tb2Nd2Sm7 (PBE-GGA)

Data for Tb2Nd2Sm7 after structural relaxation.

Cell: 8.3257 6.9445 6.9447 Å, 103.48 99.46 99.45°
Closest atoms and distances in Å follow each position.
Fractional positions:
Tb 0.9693 0.1910 0.1910  1 Tb 3.46, 5 Sm 3.47-3.82, 4 Nd 3.50-3.56
Tb 0.0307 0.8090 0.8090  1 Tb 3.46, 5 Sm 3.47-3.82, 4 Nd 3.50-3.56
Nd 0.0000 0.2856 0.7144  6 Sm 3.36-3.62, 4 Tb 3.50-3.56
Nd 0.0000 0.7144 0.2856  6 Sm 3.36-3.62, 4 Tb 3.50-3.56
Sm 0.6683 0.9052 0.4938  3 Sm 3.29-3.60, 2 Nd 3.36-3.62, 1 Tb 3.68
Sm 0.3317 0.5062 0.0948  3 Sm 3.29-3.60, 2 Nd 3.36-3.62, 1 Tb 3.68
Sm 0.3317 0.0948 0.5062  3 Sm 3.29-3.60, 2 Nd 3.36-3.62, 1 Tb 3.68
Sm 0.6683 0.4938 0.9052  3 Sm 3.29-3.60, 2 Nd 3.36-3.62, 1 Tb 3.68
Sm 0.5000 0.0000 0.0000  6 Sm 3.51-3.73, 2 Tb 3.82
Sm 0.3187 0.5822 0.5822  8 Sm 3.33-3.71, 2 Nd 3.47, 1 Tb 3.47
Sm 0.6813 0.4178 0.4178  8 Sm 3.33-3.71, 2 Nd 3.47, 1 Tb 3.47

Output
Spin magnetization, Bohr magnetons per cell: 0.00

***

(b)
## Tb2Nd2Sm7 (PBE-GGA)

Data for Tb2Nd2Sm7 after structural relaxation.

Cell: 8.4908 6.7822 6.7822 Å, 88.25 80.43 80.43°
Closest atoms and distances in Å follow each position.
Fractional positions:
Tb 0.5000 0.1883 0.8117  8 Sm 3.49-3.79, 1 Tb 3.56
Tb 0.5000 0.8117 0.1883  8 Sm 3.49-3.79, 1 Tb 3.56
Nd 0.8453 0.3999 0.3999  7 Sm 3.15-3.46
Nd 0.1547 0.6001 0.6001  7 Sm 3.15-3.46
Sm 0.1836 0.0981 0.5054  3 Nd 3.41-3.46, 4 Sm 3.41-3.77, 2 Tb 3.49-3.79
Sm 0.8164 0.4946 0.9019  3 Nd 3.41-3.46, 4 Sm 3.41-3.77, 2 Tb 3.49-3.79
Sm 0.8164 0.9019 0.4946  3 Nd 3.41-3.46, 4 Sm 3.41-3.77, 2 Tb 3.49-3.79
Sm 0.1836 0.5054 0.0981  3 Nd 3.41-3.46, 4 Sm 3.41-3.77, 2 Tb 3.49-3.79
Sm 0.0000 0.0000 0.0000  4 Sm 3.55, 2 Nd 3.81
Sm 0.4850 0.6954 0.6954  1 Nd 3.15, 2 Sm 3.41, 4 Tb 3.49
Sm 0.5150 0.3046 0.3046  1 Nd 3.15, 2 Sm 3.41, 4 Tb 3.49

Output
Spin magnetization, Bohr magnetons per cell: 0.00

***

Winner for stability: (a)

***

(a)
## Tb4Nd4Sm3 (PBE-GGA)

Data for Tb4Nd4Sm3 after structural relaxation.

Cell: 5.7630 6.7157 10.7759 Å, 90.00 90.00 115.41°
Closest atoms and distances in Å follow each position.
Fractional positions:
Tb 0.6117 0.2235 0.5000  3 Nd 3.30-3.57, 2 Sm 3.33, 4 Tb 3.59
Tb 0.5530 0.1061 0.0000  4 Nd 3.09-3.32
Tb 0.1043 0.2085 0.6978  4 Nd 3.42-3.69, 2 Tb 3.59, 4 Sm 3.71-3.73
Tb 0.1043 0.2085 0.3022  4 Nd 3.42-3.69, 2 Tb 3.59, 4 Sm 3.71-3.73
Nd 0.7539 0.5078 0.7905  4 Tb 3.32-3.57, 2 Nd 3.37-3.50, 4 Sm 3.56-3.66
Nd 0.7539 0.5078 0.2095  4 Tb 3.32-3.57, 2 Nd 3.37-3.50, 4 Sm 3.56-3.66
Nd 0.8838 0.7675 0.5000  3 Tb 3.30-3.42, 2 Nd 3.50, 4 Sm 3.67
Nd 0.9603 0.9207 0.0000  2 Tb 3.09, 2 Nd 3.37
Sm 0.4096 0.8192 0.2913  3 Tb 3.33-3.71, 4 Nd 3.56-3.67, 1 Sm 3.66
Sm 0.4096 0.8192 0.7087  3 Tb 3.33-3.71, 4 Nd 3.56-3.67, 1 Sm 3.66
Sm 0.2541 0.5082 0.0000  7 Nd 3.56-3.82, 5 Tb 3.63-3.78, 2 Sm 3.66

Output
Spin magnetization, Bohr magnetons per cell: 0.00

***

(b)
## Tb4Nd4Sm3 (PBE-GGA)

Data for Tb4Nd4Sm3 after structural relaxation.

Cell: 3.6217 9.5223 12.1704 Å, 113.03 98.56 90.00°
Closest atoms and distances in Å follow each position.
Fractional positions:
Tb 0.7401 0.2401 0.4803  2 Sm 3.44, 6 Nd 3.54-3.72, 2 Tb 3.62
Tb 0.2599 0.7599 0.5197  2 Sm 3.44, 6 Nd 3.54-3.72, 2 Tb 3.62
Tb 0.5000 0.8170 0.0000  6 Sm 3.46-3.52, 2 Nd 3.48, 3 Tb 3.49-3.62
Tb 0.5000 0.1830 0.0000  6 Sm 3.46-3.52, 2 Nd 3.48, 3 Tb 3.49-3.62
Nd 0.6453 0.4679 0.2907  3 Nd 3.38-3.62, 4 Tb 3.48-3.72, 2 Sm 3.66
Nd 0.3547 0.1773 0.7093  3 Nd 3.38-3.62, 4 Tb 3.48-3.72, 2 Sm 3.66
Nd 0.3547 0.5321 0.7093  3 Nd 3.38-3.62, 4 Tb 3.48-3.72, 2 Sm 3.66
Nd 0.6453 0.8227 0.2907  3 Nd 3.38-3.62, 4 Tb 3.48-3.72, 2 Sm 3.66
Sm 0.8922 0.8922 0.7844  6 Tb 3.44-3.46, 2 Sm 3.62, 4 Nd 3.66
Sm 0.1078 0.1078 0.2156  6 Tb 3.44-3.46, 2 Sm 3.62, 4 Nd 3.66
Sm 0.0000 0.5000 0.0000  4 Tb 3.52, 2 Sm 3.62

Output
Spin magnetization, Bohr magnetons per cell: 0.00

***

Winner for stability: (b)